Material: InAg8Se6
Method: DFT, PBE
State: optimized geometry

Cell lengths 8.1507, 7.9813, 11.0245 Å; angles 90.00, 90.00, 90.00 degrees
Last column: nearest neighbours and their distance in Å.
Fractional positions:
In1 0.0000 0.2454 0.0000  4 Se 2.57-2.61
In2 0.5000 0.7546 0.5000  4 Se 2.57-2.61
Ag1 0.0000 0.8034 0.9555  2 Se 2.57
Ag2 0.0000 0.8760 0.5200  4 Se 2.68-2.75
Ag3 0.1936 0.9738 0.7486  3 Se 2.70-2.76
Ag4 0.2043 0.3901 0.3574  4 Se 2.71-2.86, 1 Ag 3.02
Ag5 0.2367 0.3305 0.6266  3 Se 2.56-2.80
Ag6 0.2633 0.6695 0.1266  3 Se 2.56-2.80
Ag7 0.2957 0.6099 0.8574  4 Se 2.71-2.86, 1 Ag 3.02
Ag8 0.3064 0.0262 0.2486  3 Se 2.70-2.76
Ag9 0.5000 0.1240 0.0200  4 Se 2.68-2.75
Ag10 0.5000 0.1966 0.4555  2 Se 2.57
Ag11 0.6936 0.0262 0.2486  3 Se 2.70-2.76
Ag12 0.7043 0.6099 0.8574  4 Se 2.71-2.86, 1 Ag 3.02
Ag13 0.7367 0.6695 0.1266  3 Se 2.56-2.80
Ag14 0.7633 0.3305 0.6266  3 Se 2.56-2.80
Ag15 0.7957 0.3901 0.3574  4 Se 2.71-2.86, 1 Ag 3.02
Ag16 0.8064 0.9738 0.7486  3 Se 2.70-2.76
Se1 0.0000 0.2104 0.5007  5 Ag 2.56-2.71
Se2 0.0000 0.4874 0.1599  1 In 2.61, 4 Ag 2.62-2.85
Se3 0.0000 0.7001 0.7345  6 Ag 2.57-2.86
Se4 0.0000 0.9904 0.1454  3 Ag 2.57-2.76, 1 In 2.59
Se5 0.2352 0.7406 0.3740  1 In 2.57, 4 Ag 2.73-2.81
Se6 0.2648 0.2594 0.8740  1 In 2.57, 4 Ag 2.73-2.81
Se7 0.5000 0.0096 0.6454  3 Ag 2.57-2.76, 1 In 2.59
Se8 0.5000 0.2999 0.2345  6 Ag 2.57-2.86
Se9 0.5000 0.5126 0.6599  1 In 2.61, 4 Ag 2.62-2.85
Se10 0.5000 0.7896 0.0007  5 Ag 2.56-2.71
Se11 0.7352 0.2594 0.8740  1 In 2.57, 4 Ag 2.73-2.81
Se12 0.7648 0.7406 0.3740  1 In 2.57, 4 Ag 2.73-2.81

Summary:
As for the raw total energy: -96.72 eV per cell. The density of states at the Fermi level is 0.606 states/eV/atom. The space group is Pmn2_1.


Material: CsY2Hg2
Method: DFT, PBE
State: optimized geometry

Cell lengths 9.2552, 9.2552, 3.6023 Å; angles 90.00, 90.00, 90.00 degrees
Last column: nearest neighbours and their distance in Å.
Fractional positions:
Cs1 0.0000 0.0000 0.0000  2 Cs 3.60, 4 Y 3.62, 8 Hg 3.91
Cs2 0.5000 0.5000 0.0000  2 Cs 3.60, 4 Y 3.62, 8 Hg 3.91
Y1 0.1321 0.3679 0.0000  6 Hg 3.25-3.27, 3 Y 3.46-3.60, 2 Cs 3.62
Y2 0.3679 0.8679 0.0000  6 Hg 3.25-3.27, 3 Y 3.46-3.60, 2 Cs 3.62
Y3 0.6321 0.1321 0.0000  6 Hg 3.25-3.27, 3 Y 3.46-3.60, 2 Cs 3.62
Y4 0.8679 0.6321 0.0000  6 Hg 3.25-3.27, 3 Y 3.46-3.60, 2 Cs 3.62
Hg1 0.1615 0.6615 0.5000  6 Y 3.25-3.27, 2 Hg 3.60
Hg2 0.3385 0.1615 0.5000  6 Y 3.25-3.27, 2 Hg 3.60
Hg3 0.6615 0.8385 0.5000  6 Y 3.25-3.27, 2 Hg 3.60
Hg4 0.8385 0.3385 0.5000  6 Y 3.25-3.27, 2 Hg 3.60

Summary:
The density of states at the Fermi level is 1.041 states/eV/atom. The calculation puts the formation energy at -0.6 eV/f.u. The space group is P4/mbm. The polymorph energy (0 for the lowest one) is 0.0000 eV/atom.


Material: Li3OsN
Method: DFT, PBE
State: optimized geometry

Cell lengths 4.8871, 4.8871, 4.8871 Å; angles 90.00, 90.00, 90.00 degrees
Last column: nearest neighbours and their distance in Å.
Fractional positions:
Li1 0.0000 0.0000 0.5000  2 Os 2.44
Li2 0.0000 0.5000 0.0000  2 Os 2.44
Li3 0.5000 0.0000 0.0000  2 Os 2.44
Os1 0.0000 0.0000 0.0000  6 Li 2.44
N1 0.5000 0.5000 0.5000  12 Li 3.46

Summary:
The density of states at the Fermi level is 0.872 states/eV/atom. The space group is Pm-3m. The polymorph energy (0 for the lowest one) is 1.1003 eV/atom.


Material: Dy2TlSn4
Method: DFT, PBE
State: optimized geometry

Cell lengths 6.5908, 6.5603, 6.4926 Å; angles 60.65, 60.18, 59.17 degrees
Last column: nearest neighbours and their distance in Å.
Fractional positions:
Dy1 0.0000 0.0000 0.5000  2 Tl 3.25, 8 Sn 3.28-3.30
Dy2 0.5000 0.5000 0.0000  2 Tl 3.25, 8 Sn 3.28-3.30
Tl1 0.0000 0.0000 0.0000  4 Dy 3.25, 8 Sn 3.28-3.30
Sn1 0.0000 0.5000 0.0000  4 Sn 3.25, 2 Tl 3.28, 4 Dy 3.30
Sn2 0.0000 0.5000 0.5000  4 Sn 3.25, 4 Dy 3.28, 2 Tl 3.30
Sn3 0.5000 0.0000 0.0000  4 Sn 3.25, 4 Dy 3.28, 2 Tl 3.30
Sn4 0.5000 0.0000 0.5000  4 Sn 3.25, 2 Tl 3.28, 4 Dy 3.30

Summary:
The density of states at the Fermi level is 0.539 states/eV/atom. The calculation puts the formation energy at -2.5 eV/f.u. The space group is Fmmm.


Material: Re3Os4
Method: DFT, PBE
State: optimized geometry

Cell lengths 9.4148, 9.4148, 2.7334 Å; angles 90.00, 90.00, 154.66 degrees
Last column: nearest neighbours and their distance in Å.
Fractional positions:
Re1 0.0000 0.0000 0.0000  10 Re 2.73-2.82, 2 Os 2.79
Re2 0.4265 0.5735 0.5000  5 Os 2.57-2.86, 7 Re 2.70-2.82
Re3 0.5735 0.4265 0.5000  5 Os 2.57-2.86, 7 Re 2.70-2.82
Os1 0.1517 0.8483 0.0000  8 Os 2.72-2.83, 5 Re 2.79-2.86
Os2 0.2868 0.7132 0.5000  8 Os 2.47-2.73, 1 Re 2.57
Os3 0.7132 0.2868 0.5000  8 Os 2.47-2.73, 1 Re 2.57
Os4 0.8483 0.1517 0.0000  8 Os 2.72-2.83, 5 Re 2.79-2.86

Summary:
The density of states at the Fermi level is 0.549 states/eV/atom. The calculation puts the formation energy at 1.3 eV/f.u. The space group is Cmmm. The polymorph energy (0 for the lowest one) is 0.1147 eV/atom.


Material: RbTbPb2
Method: DFT, PBE
State: optimized geometry

Cell lengths 4.1549, 4.1549, 8.3633 Å; angles 90.00, 90.00, 90.00 degrees
Last column: nearest neighbours and their distance in Å.
Fractional positions:
Rb1 0.0000 0.0000 0.0000  8 Pb 3.93, 4 Rb 4.15, 2 Tb 4.18
Tb1 0.0000 0.0000 0.5000  8 Pb 3.33
Pb1 0.5000 0.5000 0.3125  1 Pb 3.14, 4 Tb 3.33
Pb2 0.5000 0.5000 0.6875  1 Pb 3.14, 4 Tb 3.33

Summary:
The density of states at the Fermi level is 0.618 states/eV/atom. The calculation puts the formation energy at -1.2 eV/f.u. The space group is P4/mmm. The polymorph energy (0 for the lowest one) is 0.0000 eV/atom.


Material: HfTeBr3
Method: DFT, PBE
State: optimized geometry

Cell lengths 5.3138, 5.3138, 5.3138 Å; angles 90.00, 90.00, 90.00 degrees
Last column: nearest neighbours and their distance in Å.
Fractional positions:
Hf1 0.0000 0.0000 0.0000  6 Br 2.66
Te1 0.5000 0.5000 0.5000  12 Br 3.76
Br1 0.0000 0.0000 0.5000  2 Hf 2.66
Br2 0.0000 0.5000 0.0000  2 Hf 2.66
Br3 0.5000 0.0000 0.0000  2 Hf 2.66

Summary:
As for the raw total energy: -19.93 eV per cell. The density of states at the Fermi level is 0.798 states/eV/atom. The space group is Pm-3m.


Material: Ta2MnCl
Method: DFT, PBE
State: optimized geometry

Cell lengths 3.0357, 4.3617, 5.0904 Å; angles 90.00, 90.00, 90.00 degrees
Last column: nearest neighbours and their distance in Å.
Fractional positions:
Ta1 0.0000 0.0000 0.0000  4 Cl 2.66, 4 Ta 2.96
Ta2 0.5000 0.0000 0.5000  4 Mn 2.66, 4 Ta 2.96
Mn1 0.0000 0.5000 0.5000  4 Ta 2.66, 4 Cl 2.96
Cl1 0.5000 0.5000 0.0000  4 Ta 2.66, 4 Mn 2.96

Summary:
The density of states at the Fermi level is 1.009 states/eV/atom. The space group is Pmmm. The polymorph energy (0 for the lowest one) is 0.6444 eV/atom.